# DyGa3 PBE relaxed
data_DyGa3
_cell_length_a 4.2662
_cell_length_b 4.2662
_cell_length_c 4.2662
_cell_angle_alpha 90.00
_cell_angle_beta 90.00
_cell_angle_gamma 90.00
_space_group_name_H-M_alt 'P m -3 m'
_space_group_IT_number 221
_space_group_name_Hall '-P 4 2 3'
loop_
_atom_site_label
_atom_site_type_symbol
_atom_site_fract_x
_atom_site_fract_y
_atom_site_fract_z
Dy1 Dy 0.0000 0.0000 0.0000
Ga1 Ga 0.0000 0.5000 0.5000
# **Electronic total energy**: -3.95 eV/atom

# Dy3Ga5 PBE relaxed
data_Dy3Ga5
_cell_length_a 11.4639
_cell_length_b 9.6687
_cell_length_c 6.1002
_cell_angle_alpha 90.00
_cell_angle_beta 90.00
_cell_angle_gamma 90.00
_space_group_name_H-M_alt 'P n m a'
_space_group_IT_number 62
loop_
_space_group_symop_operation_xyz
'x,y,z'
'-x,-y,-z'
'-x+1/2,-y,z+1/2'
'x+1/2,y,-z+1/2'
'x+1/2,-y+1/2,-z+1/2'
'-x+1/2,y+1/2,z+1/2'
'-x,y+1/2,-z'
'x,-y+1/2,z'
loop_
_atom_site_label
_atom_site_type_symbol
_atom_site_fract_x
_atom_site_fract_y
_atom_site_fract_z
Dy1 Dy 0.0738 0.2500 0.1515
Dy2 Dy 0.1480 0.5098 0.6097
Ga1 Ga 0.0051 0.2500 0.6292
Ga2 Ga 0.0907 0.5532 0.1256
Ga3 Ga 0.2007 0.7500 0.8980
Ga4 Ga 0.2477 0.7500 0.3260
# **Electronic total energy**: -4.28 eV/atom

# DyGa PBE relaxed
data_DyGa
_cell_length_a 3.5015
_cell_length_b 3.5015
_cell_length_c 4.5965
_cell_angle_alpha 90.00
_cell_angle_beta 90.00
_cell_angle_gamma 120.00
_space_group_name_H-M_alt 'P -6 m 2'
_space_group_IT_number 187
_space_group_name_Hall 'P -6 2'
loop_
_atom_site_label
_atom_site_type_symbol
_atom_site_fract_x
_atom_site_fract_y
_atom_site_fract_z
Dy1 Dy 0.0000 0.0000 0.0000
Ga1 Ga 0.6667 0.3333 0.5000
# **Electronic total energy**: -4.12 eV/atom

# DyGa3 PBE relaxed
data_DyGa3
_cell_length_a 6.2611
_cell_length_b 10.8683
_cell_length_c 4.5433
_cell_angle_alpha 90.00
_cell_angle_beta 90.00
_cell_angle_gamma 90.00
_space_group_name_H-M_alt 'C m c m'
_space_group_IT_number 63
_space_group_name_Hall '-C 2c 2'
loop_
_atom_site_label
_atom_site_type_symbol
_atom_site_fract_x
_atom_site_fract_y
_atom_site_fract_z
Dy1 Dy 0.0000 0.1671 0.2500
Ga1 Ga 0.0000 0.3511 0.7500
Ga2 Ga 0.2228 0.4265 0.2500
# **Electronic total energy**: -3.96 eV/atom

# DyGa3 PBE relaxed
data_DyGa3
_cell_length_a 6.1888
_cell_length_b 6.1888
_cell_length_c 27.8534
_cell_angle_alpha 90.00
_cell_angle_beta 90.00
_cell_angle_gamma 120.00
_space_group_name_H-M_alt 'R -3 m'
_space_group_IT_number 166
_space_group_name_Hall '-R 3 2"'
loop_
_atom_site_label
_atom_site_type_symbol
_atom_site_fract_x
_atom_site_fract_y
_atom_site_fract_z
Dy1 Dy 0.0000 0.0000 0.1298
Dy2 Dy 0.0000 0.0000 0.2878
Ga1 Ga 0.0024 0.5012 0.7082
Ga2 Ga 0.0428 0.5214 0.1246
# **Electronic total energy**: -3.96 eV/atom

# GdDyGa4 PBE relaxed
data_GdDyGa4
_cell_length_a 4.1156
_cell_length_b 18.7949
_cell_length_c 6.4847
_cell_angle_alpha 90.00
_cell_angle_beta 90.00
_cell_angle_gamma 90.00
_space_group_name_H-M_alt 'C m c m'
_space_group_IT_number 63
_space_group_name_Hall '-C 2c 2'
loop_
_atom_site_label
_atom_site_type_symbol
_atom_site_fract_x
_atom_site_fract_y
_atom_site_fract_z
Gd1 Gd 0.0000 0.0888 0.2500
Dy1 Dy 0.0000 0.2347 0.7500
Ga1 Ga 0.0000 0.0711 0.7500
Ga2 Ga 0.0000 0.3546 0.0441
Ga3 Ga 0.0000 0.5000 0.0000
# **Electronic total energy**: -4.14 eV/atom

# GdDyGa PBE relaxed
data_GdDyGa
_cell_length_a 7.0293
_cell_length_b 7.0293
_cell_length_c 7.0293
_cell_angle_alpha 90.00
_cell_angle_beta 90.00
_cell_angle_gamma 90.00
_space_group_name_H-M_alt 'F -4 3 m'
_space_group_IT_number 216
_space_group_name_Hall 'F -4 2 3'
loop_
_atom_site_label
_atom_site_type_symbol
_atom_site_fract_x
_atom_site_fract_y
_atom_site_fract_z
Gd1 Gd 0.0000 0.0000 0.0000
Dy1 Dy 0.0000 0.0000 0.5000
Ga1 Ga 0.2500 0.2500 0.7500
# **Polymorph energy (0 for the lowest one)**: 0 meV per atom

# GdDy2Ga3Ge2Pd PBE relaxed
data_GdDy2Ga3Ge2Pd
_cell_length_a 4.2476
_cell_length_b 12.2135
_cell_length_c 7.0240
_cell_angle_alpha 90.00
_cell_angle_beta 90.00
_cell_angle_gamma 90.00
_space_group_name_H-M_alt 'A m m 2'
_space_group_IT_number 38
loop_
_space_group_symop_operation_xyz
'x,y,z'
'-x,-y,z'
'-x,y,z'
'x,-y,z'
'x,y+1/2,z+1/2'
'-x,-y+1/2,z+1/2'
'-x,y+1/2,z+1/2'
'x,-y+1/2,z+1/2'
loop_
_atom_site_label
_atom_site_type_symbol
_atom_site_fract_x
_atom_site_fract_y
_atom_site_fract_z
Gd1 Gd 0.0000 0.0000 0.0000
Dy1 Dy 0.0000 0.2055 0.3834
Ga1 Ga 0.5000 0.0000 0.3517
Ga2 Ga 0.5000 0.1184 0.7063
Ge1 Ge 0.5000 0.1679 0.0888
Pd1 Pd 0.0000 0.0000 0.5856
# **Electronic total energy**: -4.94 eV/atom

no.,M_tot (μB per formula unit)
1,0.0
2,0.0
3,0.0
4,0.0
5,0.0
6,0.0
7,0.0
8,0.0